A geometry-optimized Te2AsN structure, computed with PBEsol.

Lattice parameters (Å, degrees): 3.1692 3.1692 9.2840 80.17 80.17 60.00
Atoms (fractional coordinates):
N1 0.5000 0.5000 0.5000
Te1 0.1061 0.1061 0.6817
Te2 0.8939 0.8939 0.3183
As1 0.0000 0.0000 0.0000

Computed properties:
The calculation puts the calculated density at 7.22 Mg/m³. The value obtained for the uncorrected energy is -4.30 eV per atom. The total moment is 0.000 μB/atom. The value obtained for the energy relative to the elements, uncorrected is 0.8726 eV/atom.